DFT (PBE) results for a relaxed structure of PuAlAg2O6.

Formation energy from raw total energies = -1654 kJ/mol of formula units
Energy = -7.07 eV per atom

```
data_PuAlAg2O6
_chemical_formula_sum 'Pu2 Al2 Ag4 O12'
_symmetry_space_group_name_H-M 'P 1 21/c 1'
_symmetry_Int_Tables_number 14
_cell_length_a 5.495
_cell_length_b 5.573
_cell_length_c 9.549
_cell_angle_alpha 90.00
_cell_angle_beta 125.03
_cell_angle_gamma 90.00
loop_
_symmetry_equiv_pos_as_xyz
'x,y,z'
'-x,-y,-z'
'-x,y+1/2,-z+1/2'
'x,-y+1/2,z+1/2'
loop_
_atom_site_label
_atom_site_fract_x
_atom_site_fract_y
_atom_site_fract_z
_atom_site_occupancy
Pu1 0.000 0.000 0.000 1
Al1 0.500 0.000 0.500 1
Ag1 0.252 0.013 0.749 1
O1 0.188 0.013 0.258 1
O2 0.259 0.711 0.035 1
O3 0.327 0.226 0.036 1
```